1.
First-principles (SCAN) data for a PBEsol-optimized structure of HfNiAsBr2, as listed in the Alexandria database.

abc: 5.0647 5.0647 5.2650
angles: 90.00 90.00 90.00
With the nearest neighbours (Å) after each atom.
Space group P4/mmm (No. 123)
Asymmetric unit:
Hf1 0.0000 0.0000 0.0000 x1  4 Br 2.53, 2 As 2.63
Ni1 0.5000 0.5000 0.5000 x1  4 As 3.58, 8 Br 3.65
As1 0.0000 0.0000 0.5000 x1  2 Hf 2.63
Br1 0.0000 0.5000 0.0000 x2  2 Hf 2.53

M_tot, μB per cell: 1.3
V, Å³ per atom: 27.01
E_form (uncorrected), eV per atom: 0.138

***

2.
First-principles (SCAN) data for a PBEsol-optimized structure of SnPS2O, as listed in the Alexandria database.

abc: 4.4179 4.4179 4.0820
angles: 90.00 90.00 90.00
With the nearest neighbours (Å) after each atom.
Space group P4/mmm (No. 123)
Asymmetric unit:
Sn1 0.0000 0.0000 0.0000 x1  8 S 3.01, 4 P 3.12
P1 0.5000 0.5000 0.0000 x1  2 O 2.04
S1 0.0000 0.5000 0.5000 x2  2 O 2.21
O1 0.5000 0.5000 0.5000 x1  2 P 2.04, 4 S 2.21

M_tot, μB per cell: 0.0
V, Å³ per atom: 15.93
E_form (uncorrected), eV per atom: 0.588

***

3.
First-principles (SCAN) data for a PBEsol-optimized structure of YTcHg2, as listed in the Alexandria database.

abc: 3.6450 3.6450 5.9855
angles: 90.00 90.00 90.00
With the nearest neighbours (Å) after each atom.
Space group P4/mmm (No. 123)
Asymmetric unit:
Y1 0.0000 0.0000 0.0000 x1  2 Tc 2.99, 8 Hg 3.04
Tc1 0.0000 0.0000 0.5000 x1  8 Hg 2.92, 2 Y 2.99
Hg1 0.5000 0.5000 0.2692 x2  1 Hg 2.76, 4 Tc 2.92, 4 Y 3.04

Offset from the most stable computed form, meV/atom: 0
Energy of formation from the pure elements, eV/atom: 0.033
M_tot, μB per cell: 0.0
V, Å³ per atom: 19.88

***

4.
First-principles (SCAN) data for a PBEsol-optimized structure of Sr2TcAu, as listed in the Alexandria database.

abc: 7.6152 7.6731 3.4263
angles: 90.00 90.00 90.00
With the nearest neighbours (Å) after each atom.
Space group Cmmm (No. 65)
Asymmetric unit:
Sr1 0.2500 0.2500 0.0000 x4  4 Tc 3.20, 4 Au 3.20, 2 Sr 3.43
Tc1 0.0000 0.0000 0.5000 x2  8 Sr 3.20, 2 Tc 3.43
Au1 0.0000 0.5000 0.5000 x2  8 Sr 3.20, 2 Au 3.43

Energy of formation from the pure elements, eV/atom: 0.237
M_tot, μB per cell: 4.3
V, Å³ per atom: 25.03

***

5.
First-principles (SCAN) data for a PBEsol-optimized structure of CsEuF3, as listed in the Alexandria database.

abc: 4.7355 4.7355 4.7355
angles: 90.00 90.00 90.00
With the nearest neighbours (Å) after each atom.
Space group Pm-3m (No. 221)
Asymmetric unit:
Cs1 0.0000 0.0000 0.0000 x1  12 F 3.35
Eu1 0.5000 0.5000 0.5000 x1  6 F 2.37
F1 0.0000 0.5000 0.5000 x3  2 Eu 2.37

M_tot, μB per cell: 7.0
V, Å³ per atom: 21.24
E_form (uncorrected), eV per atom: -3.540

***

6.
First-principles (SCAN) data for a PBEsol-optimized structure of CdAs4Au, as listed in the Alexandria database.

abc: 7.8071 7.8071 7.8071
angles: 90.00 90.00 90.00
With the nearest neighbours (Å) after each atom.
Space group F-43m (No. 216)
Asymmetric unit:
Cd1 0.0000 0.0000 0.0000 x4  12 As 3.24, 4 Au 3.38
As1 0.1233 0.1233 0.6233 x16  6 As 2.72-2.80
Au1 0.2500 0.2500 0.2500 x4  12 As 3.23, 4 Cd 3.38

Energy of formation from the pure elements, eV/atom: 0.476
M_tot, μB per cell: 0.0
V, Å³ per atom: 19.83

***

7.
First-principles (SCAN) data for a PBEsol-optimized structure of LiReRh2, as listed in the Alexandria database.

abc: 2.8157 4.3170 8.6034
angles: 90.00 90.00 90.00
With the nearest neighbours (Å) after each atom.
Space group Imm2 (No. 44)
Asymmetric unit:
Li1 0.0000 0.0000 0.0000 x2  6 Rh 2.43-2.58, 2 Re 2.58
Re1 0.0000 0.5000 0.2486 x2  6 Rh 2.57-2.58, 2 Li 2.58, 2 Re 2.82
Rh1 0.0000 0.0000 0.4992 x2  2 Re 2.57, 4 Li 2.58, 4 Rh 2.71-2.82
Rh2 0.0000 0.5000 0.7302 x2  2 Li 2.43, 4 Re 2.58, 2 Rh 2.71

Energy of formation from the pure elements, eV/atom: 0.034
M_tot, μB per cell: 0.0
V, Å³ per atom: 13.07

***

8.
First-principles (SCAN) data for a PBEsol-optimized structure of TiAgP2C, as listed in the Alexandria database.

abc: 4.1413 4.1413 3.9846
angles: 90.00 90.00 90.00
With the nearest neighbours (Å) after each atom.
Space group P4/mmm (No. 123)
Asymmetric unit:
Ti1 0.0000 0.0000 0.0000 x1  2 C 1.99
Ag1 0.5000 0.5000 0.0000 x1  8 P 2.87, 4 Ti 2.93
P1 0.0000 0.5000 0.5000 x2  2 C 2.07
C1 0.0000 0.0000 0.5000 x1  2 Ti 1.99, 4 P 2.07

Energy of formation from the pure elements, eV/atom: 0.589
M_tot, μB per cell: 0.0
V, Å³ per atom: 13.67